Record 1
This record from Alexandria describes a relaxed structure of Rb4RhI5. The functional is PBE.

## Properties
Its space group is I4. The value obtained for the formation energy without anion corrections is -1001 meV/atom. For the volume, the calculation gives 460 Å³ per cell.

```
10
Lattice="-5.562 5.562 3.717 5.562 -5.562 3.717 5.562 5.562 -3.717" Properties=species:S:1:pos:R:3 pbc="T T T"
Rb 3.316 0.993 0.000
Rb 4.569 -2.246 3.717
Rb 0.993 7.808 0.000
Rb 2.246 4.569 3.717
Rh 0.000 0.000 3.987
I 6.475 2.778 -0.029
I 2.778 4.649 -0.029
I 2.784 0.913 3.688
I -0.913 2.784 3.688
I 0.000 0.000 6.788
```

Record 2
This record from Alexandria describes a relaxed structure of CeSm2HoBi5. The functional is PBE.

## Properties
Its space group is P4/mmm. As for the calculated total energy: -39.4 eV per cell. For the volume, the calculation gives 367 Å³ per cell.

```
9
Lattice="5.564 0.000 0.000 0.000 5.564 0.000 0.000 0.000 11.858" Properties=species:S:1:pos:R:3 pbc="T T T"
Ce 0.000 0.000 0.000
Sm 2.782 2.782 2.674
Sm 2.782 2.782 9.185
Ho 0.000 0.000 5.929
Bi 0.000 0.000 3.027
Bi 0.000 0.000 8.831
Bi 0.000 2.782 0.000
Bi 2.782 0.000 0.000
Bi 2.782 2.782 5.929
```

Record 3
This record from Alexandria describes a relaxed structure of Tm4CdPt3. The functional is PBE.

## Properties
Its space group is P4/mmm. As for the calculated total energy: -45.1 eV per cell. For the volume, the calculation gives 171 Å³ per cell.

```
8
Lattice="4.947 0.000 0.000 0.000 4.947 0.000 0.000 0.000 7.002" Properties=species:S:1:pos:R:3 pbc="T T T"
Tm 0.000 2.474 1.672
Tm 0.000 2.474 5.330
Tm 2.474 0.000 1.672
Tm 2.474 0.000 5.330
Cd 0.000 0.000 3.501
Pt 0.000 0.000 0.000
Pt 2.474 2.474 0.000
Pt 2.474 2.474 3.501
```

Record 4
This record from Alexandria describes a relaxed structure of Mg4Sn5. The functional is PBE.

## Properties
Its space group is I4/mmm. Its energy above the lowest structure with this stoichiometry is 0.0000 eV per atom. For the volume, the calculation gives 223 Å³ per cell.

```
9
Lattice="-5.014 5.014 2.214 5.014 -5.014 2.214 5.014 5.014 -2.214" Properties=species:S:1:pos:R:3 pbc="T T T"
Mg 1.659 1.659 0.000
Mg 3.355 -3.355 2.214
Mg -3.355 3.355 2.214
Mg 3.355 3.355 2.214
Sn 5.014 1.761 0.000
Sn 1.761 5.014 0.000
Sn 0.000 0.000 2.214
Sn 3.253 0.000 2.214
Sn 0.000 3.253 2.214
```